(1)
# GGA-PBE ZrTiInMo, relaxed
data_ZrTiInMo
_chemical_formula_sum 'Zr4 Ti4 In4 Mo4'
_cell_length_a 6.7174
_cell_length_b 6.7174
_cell_length_c 6.7174
_cell_angle_alpha 90.00
_cell_angle_beta 90.00
_cell_angle_gamma 90.00
_space_group_name_H-M_alt 'F -4 3 m'
_space_group_IT_number 216
_space_group_name_Hall 'F -4 2 3'
loop_
_atom_site_label
_atom_site_fract_x
_atom_site_fract_y
_atom_site_fract_z
_atom_site_occupancy
Zr1 0.0000 0.0000 0.0000 1
Ti1 0.0000 0.0000 0.5000 1
In1 0.2500 0.2500 0.7500 1
Mo1 0.2500 0.2500 0.2500 1
# Calculated formation energy (eV per atom): -0.084
# D(E_F) (states/eV/f.u.): 4.055

(2)
# GGA-PBE PuPtAu11, relaxed
data_PuPtAu11
_chemical_formula_sum 'Pu2 Pt2 Au22'
_cell_length_a 5.6270
_cell_length_b 13.5126
_cell_length_c 7.1629
_cell_angle_alpha 90.00
_cell_angle_beta 111.42
_cell_angle_gamma 90.00
_space_group_name_H-M_alt 'C 1 2/m 1'
_space_group_IT_number 12
loop_
_space_group_symop_operation_xyz
'x,y,z'
'-x,-y,-z'
'-x,y,-z'
'x,-y,z'
'x+1/2,y+1/2,z'
'-x+1/2,-y+1/2,-z'
'-x+1/2,y+1/2,-z'
'x+1/2,-y+1/2,z'
loop_
_atom_site_label
_atom_site_fract_x
_atom_site_fract_y
_atom_site_fract_z
_atom_site_occupancy
Pu1 0.0000 0.0000 0.0000 1
Pt1 0.0000 0.0000 0.5000 1
Au1 0.0000 0.5000 0.5000 1
Au2 0.1085 0.3937 0.2140 1
Au3 0.1593 0.1715 0.3492 1
Au4 0.2500 0.2500 0.0000 1
# Calculated formation energy (eV per atom): -0.109
# D(E_F) (states/eV/f.u.): 20.924

(3)
# GGA-PBE TmMg2Tl3, relaxed
data_TmMg2Tl3
_chemical_formula_sum 'Tm2 Mg4 Tl6'
_cell_length_a 5.1585
_cell_length_b 7.3600
_cell_length_c 8.2734
_cell_angle_alpha 90.00
_cell_angle_beta 106.85
_cell_angle_gamma 90.00
_space_group_name_H-M_alt 'P 1 2/m 1'
_space_group_IT_number 10
loop_
_space_group_symop_operation_xyz
'x,y,z'
'-x,-y,-z'
'-x,y,-z'
'x,-y,z'
loop_
_atom_site_label
_atom_site_fract_x
_atom_site_fract_y
_atom_site_fract_z
_atom_site_occupancy
Tm1 0.1564 0.0000 0.3188 1
Mg1 0.1596 0.5000 0.3237 1
Mg2 0.5000 0.0000 0.0000 1
Mg3 0.5000 0.5000 0.0000 1
Tl1 0.0000 0.2625 0.0000 1
Tl2 0.3335 0.2627 0.6624 1
# Calculated formation energy (eV per atom): -0.136
# D(E_F) (states/eV/f.u.): 2.551

(4)
# GGA-PBE AcErGePb, relaxed
data_AcErGePb
_chemical_formula_sum 'Ac4 Er4 Ge4 Pb4'
_cell_length_a 7.7712
_cell_length_b 7.7712
_cell_length_c 7.7712
_cell_angle_alpha 90.00
_cell_angle_beta 90.00
_cell_angle_gamma 90.00
_space_group_name_H-M_alt 'F -4 3 m'
_space_group_IT_number 216
_space_group_name_Hall 'F -4 2 3'
loop_
_atom_site_label
_atom_site_fract_x
_atom_site_fract_y
_atom_site_fract_z
_atom_site_occupancy
Ac1 0.0000 0.0000 0.0000 1
Er1 0.0000 0.0000 0.5000 1
Ge1 0.2500 0.2500 0.7500 1
Pb1 0.2500 0.2500 0.2500 1
# Calculated formation energy (eV per atom): -0.387
# D(E_F) (states/eV/f.u.): 4.626

(5)
# GGA-PBE MgBe2Ru, relaxed
data_MgBe2Ru
_chemical_formula_sum 'Mg2 Be4 Ru2'
_cell_length_a 3.1038
_cell_length_b 3.7983
_cell_length_c 8.0224
_cell_angle_alpha 90.00
_cell_angle_beta 90.00
_cell_angle_gamma 90.00
_space_group_name_H-M_alt 'I m m 2'
_space_group_IT_number 44
loop_
_space_group_symop_operation_xyz
'x,y,z'
'-x,-y,z'
'-x,y,z'
'x,-y,z'
'x+1/2,y+1/2,z+1/2'
'-x+1/2,-y+1/2,z+1/2'
'-x+1/2,y+1/2,z+1/2'
'x+1/2,-y+1/2,z+1/2'
loop_
_atom_site_label
_atom_site_fract_x
_atom_site_fract_y
_atom_site_fract_z
_atom_site_occupancy
Mg1 0.0000 0.0000 0.0000 1
Be1 0.0000 0.0000 0.5123 1
Be2 0.0000 0.5000 0.2331 1
Ru1 0.0000 0.5000 0.7675 1
# Calculated formation energy (eV per atom): -0.029
# D(E_F) (states/eV/f.u.): 1.978

(6)
# GGA-PBE Nd3Tl3Cu2, relaxed
data_Nd3Tl3Cu2
_chemical_formula_sum 'Nd3 Tl3 Cu2'
_cell_length_a 4.4699
_cell_length_b 5.2260
_cell_length_c 9.2144
_cell_angle_alpha 101.43
_cell_angle_beta 103.99
_cell_angle_gamma 90.06
_space_group_name_H-M_alt 'P -1'
_space_group_IT_number 2
loop_
_space_group_symop_operation_xyz
'x,y,z'
'-x,-y,-z'
loop_
_atom_site_label
_atom_site_fract_x
_atom_site_fract_y
_atom_site_fract_z
_atom_site_occupancy
Nd1 0.0000 0.0000 0.0000 1
Nd2 0.1591 0.6013 0.3178 1
Tl1 0.3602 0.8936 0.7200 1
Tl2 0.5000 0.5000 0.0000 1
Cu1 0.2356 0.1477 0.4727 1
# Calculated formation energy (eV per atom): -0.260
# D(E_F) (states/eV/f.u.): 7.678

(7)
# GGA-PBE Ac2La2PaRh4, relaxed
data_Ac2La2PaRh4
_chemical_formula_sum 'Ac4 La4 Pa2 Rh8'
_cell_length_a 14.8373
_cell_length_b 4.3339
_cell_length_c 9.4241
_cell_angle_alpha 90.00
_cell_angle_beta 121.58
_cell_angle_gamma 90.00
_space_group_name_H-M_alt 'C 1 2/m 1'
_space_group_IT_number 12
loop_
_space_group_symop_operation_xyz
'x,y,z'
'-x,-y,-z'
'-x,y,-z'
'x,-y,z'
'x+1/2,y+1/2,z'
'-x+1/2,-y+1/2,-z'
'-x+1/2,y+1/2,-z'
'x+1/2,-y+1/2,z'
loop_
_atom_site_label
_atom_site_fract_x
_atom_site_fract_y
_atom_site_fract_z
_atom_site_occupancy
Ac1 0.1624 0.0000 0.2883 1
La1 0.1260 0.5000 0.8685 1
Pa1 0.0000 0.0000 0.5000 1
Rh1 0.0941 0.5000 0.4620 1
Rh2 0.1996 0.0000 0.7461 1
# Calculated formation energy (eV per atom): -0.696
# D(E_F) (states/eV/f.u.): 7.509

(8)
# GGA-PBE Mn2AlCrSb, relaxed
data_Mn2AlCrSb
_chemical_formula_sum 'Mn2 Al1 Cr1 Sb1'
_cell_length_a 4.6485
_cell_length_b 4.6485
_cell_length_c 4.7181
_cell_angle_alpha 90.00
_cell_angle_beta 90.00
_cell_angle_gamma 90.00
_space_group_name_H-M_alt 'P 4/m m m'
_space_group_IT_number 123
_space_group_name_Hall '-P 4 2'
loop_
_atom_site_label
_atom_site_fract_x
_atom_site_fract_y
_atom_site_fract_z
_atom_site_occupancy
Mn1 0.0000 0.5000 0.0000 1
Al1 0.0000 0.0000 0.0000 1
Cr1 0.0000 0.0000 0.5000 1
Sb1 0.5000 0.5000 0.5000 1
# D(E_F) (states/eV/f.u.): 2.893
# Formation energy without anion corrections (eV/atom): 0.800

(9)
# GGA-PBE Na3InI, relaxed
data_Na3InI
_chemical_formula_sum 'Na3 In1 I1'
_cell_length_a 6.0149
_cell_length_b 6.0149
_cell_length_c 6.0149
_cell_angle_alpha 90.00
_cell_angle_beta 90.00
_cell_angle_gamma 90.00
_space_group_name_H-M_alt 'P m -3 m'
_space_group_IT_number 221
_space_group_name_Hall '-P 4 2 3'
loop_
_atom_site_label
_atom_site_fract_x
_atom_site_fract_y
_atom_site_fract_z
_atom_site_occupancy
Na1 0.0000 0.0000 0.5000 1
In1 0.0000 0.0000 0.0000 1
I1 0.5000 0.5000 0.5000 1
# D(E_F) (states/eV/f.u.): 8.838
# Formation energy without anion corrections (eV/atom): -0.063

(10)
# GGA-PBE Mg5AlZn2, relaxed
data_Mg5AlZn2
_chemical_formula_sum 'Mg10 Al2 Zn4'
_cell_length_a 4.7315
_cell_length_b 4.7315
_cell_length_c 17.4453
_cell_angle_alpha 90.00
_cell_angle_beta 90.00
_cell_angle_gamma 120.00
_space_group_name_H-M_alt 'P 63/m m c'
_space_group_IT_number 194
_space_group_name_Hall '-P 6c 2c'
loop_
_atom_site_label
_atom_site_fract_x
_atom_site_fract_y
_atom_site_fract_z
_atom_site_occupancy
Mg1 0.0000 0.0000 0.1556 1
Mg2 0.3333 0.6667 0.0517 1
Mg3 0.3333 0.6667 0.2500 1
Al1 0.3333 0.6667 0.7500 1
Zn1 0.3333 0.6667 0.6049 1
# Calculated formation energy (eV per atom): 0.016
# D(E_F) (states/eV/f.u.): 4.225

(11)
# GGA-PBE YMgCl2, relaxed
data_YMgCl2
_chemical_formula_sum 'Y1 Mg1 Cl2'
_cell_length_a 4.6155
_cell_length_b 4.6155
_cell_length_c 4.3266
_cell_angle_alpha 90.00
_cell_angle_beta 90.00
_cell_angle_gamma 90.00
_space_group_name_H-M_alt 'P 4/m m m'
_space_group_IT_number 123
_space_group_name_Hall '-P 4 2'
loop_
_atom_site_label
_atom_site_fract_x
_atom_site_fract_y
_atom_site_fract_z
_atom_site_occupancy
Y1 0.0000 0.0000 0.0000 1
Mg1 0.5000 0.5000 0.0000 1
Cl1 0.0000 0.5000 0.5000 1
# D(E_F) (states/eV/f.u.): 2.735
# Formation energy without anion corrections (eV/atom): -0.816

(12)
# GGA-PBE YRuF2, relaxed
data_YRuF2
_chemical_formula_sum 'Y4 Ru4 F8'
_cell_length_a 4.0591
_cell_length_b 4.0591
_cell_length_c 15.2216
_cell_angle_alpha 90.00
_cell_angle_beta 90.00
_cell_angle_gamma 90.00
_space_group_name_H-M_alt 'I -4 2 d'
_space_group_IT_number 122
_space_group_name_Hall 'I -4 2bw'
loop_
_atom_site_label
_atom_site_fract_x
_atom_site_fract_y
_atom_site_fract_z
_atom_site_occupancy
Y1 0.0000 0.0000 0.0000 1
Ru1 0.0000 0.0000 0.5000 1
F1 0.2410 0.2500 0.1250 1
# D(E_F) (states/eV/f.u.): 2.338
# Formation energy without anion corrections (eV/atom): -1.491

(13)
# GGA-PBE KTmIn2F6, relaxed
data_KTmIn2F6
_chemical_formula_sum 'K1 Tm1 In2 F6'
_cell_length_a 6.4103
_cell_length_b 6.4321
_cell_length_c 6.7998
_cell_angle_alpha 91.23
_cell_angle_beta 117.29
_cell_angle_gamma 119.01
_space_group_name_H-M_alt 'P 1'
_space_group_IT_number 1
loop_
_space_group_symop_operation_xyz
'x,y,z'
loop_
_atom_site_label
_atom_site_fract_x
_atom_site_fract_y
_atom_site_fract_z
_atom_site_occupancy
K1 0.0000 0.0000 0.0000 1
Tm1 0.9752 0.4768 0.4988 1
In1 0.5179 0.2892 0.7196 1
In2 0.5688 0.8024 0.2817 1
F1 0.4184 0.6275 0.6694 1
F2 0.5232 0.2871 0.3616 1
F3 0.8511 0.2054 0.2094 1
F4 0.9237 0.1628 0.6374 1
F5 0.9544 0.7497 0.3284 1
F6 0.9885 0.6383 0.7882 1
# D(E_F) (states/eV/f.u.): 0.000
# Formation energy without anion corrections (eV/atom): -2.884